The following is a DFT calculation (PBE) of an optimized crystal structure of CrReOs.

Cell: 2.7094 2.7094 6.5651 Å, 90.00 90.00 120.00°
With the nearest neighbours (Å) after each atom.
Atoms (fractional coordinates):
Cr 0.0000 0.0000 0.0000  3 Os 2.59, 3 Re 2.67, 6 Cr 2.71
Re 0.6667 0.3333 0.6695  3 Cr 2.67, 6 Re 2.71, 3 Os 2.81
Os 0.3333 0.6667 0.3143  3 Cr 2.59, 6 Os 2.71, 3 Re 2.81

Calculated values
Formation enthalpy at 0 K, eV per formula unit: 0.46
Magnetic moment, μB/cell: 0.00
Polymorph energy (0 for the lowest one), kJ/mol of atoms: 7.4
D(E_F), states/eV/cell: 3.6
Space group: P3m1 (156)

***

The following is a DFT calculation (PBE) of an optimized crystal structure of GdNbRu2.

Cell: 4.6844 4.6844 3.2572 Å, 90.00 90.00 90.00°
With the nearest neighbours (Å) after each atom.
Atoms (fractional coordinates):
Gd 0.0000 0.0000 0.0000  8 Ru 2.85
Nb 0.5000 0.5000 0.0000  8 Ru 2.85
Ru 0.0000 0.5000 0.5000  4 Nb 2.85, 4 Gd 2.85
Ru 0.5000 0.0000 0.5000  4 Nb 2.85, 4 Gd 2.85

Calculated values
Formation enthalpy at 0 K, eV per formula unit: -0.73
Magnetic moment, μB/cell: 6.94
D(E_F), states/eV/cell: 2.2
Space group: P4/mmm (123)

***

The following is a DFT calculation (PBE) of an optimized crystal structure of Pm3Mg2Ag7.

Cell: 4.9080 4.2872 13.6082 Å, 90.00 99.37 90.00°
With the nearest neighbours (Å) after each atom.
Atoms (fractional coordinates):
Pm 0.0000 0.0000 0.0000  12 Ag 3.08-3.31
Pm 0.3245 0.5000 0.6409  9 Ag 3.24-3.57, 4 Mg 3.40-3.56
Pm 0.6755 0.5000 0.3591  9 Ag 3.24-3.57, 4 Mg 3.40-3.56
Mg 0.1122 0.0000 0.2680  4 Ag 2.58-2.76
Mg 0.8878 0.0000 0.7320  4 Ag 2.58-2.76
Ag 0.1775 0.5000 0.1597  2 Mg 2.65, 3 Ag 2.89-2.92
Ag 0.2319 0.0000 0.4600  1 Mg 2.58, 2 Ag 2.68
Ag 0.4181 0.0000 0.8377  2 Mg 2.76-2.91, 4 Ag 2.92-3.06
Ag 0.5000 0.5000 0.0000  6 Ag 2.89-3.06
Ag 0.5819 0.0000 0.1623  2 Mg 2.76-2.91, 4 Ag 2.92-3.06
Ag 0.7681 0.0000 0.5400  1 Mg 2.58, 2 Ag 2.68
Ag 0.8225 0.5000 0.8403  2 Mg 2.65, 3 Ag 2.89-2.92

Calculated values
Formation enthalpy at 0 K, eV per formula unit: -1.50
Magnetic moment, μB/cell: 0.00
D(E_F), states/eV/cell: 6.8
Space group: P2/m (10)

***

The following is a DFT calculation (PBE) of an optimized crystal structure of Rb2AgI.

Cell: 6.2688 6.2688 6.2688 Å, 60.00 60.00 60.00°
With the nearest neighbours (Å) after each atom.
Atoms (fractional coordinates):
Rb 0.2500 0.2500 0.2500  4 I 3.84, 4 Ag 3.84
Rb 0.7500 0.7500 0.7500  4 I 3.84, 4 Ag 3.84
Ag 0.0000 0.0000 0.0000  8 Rb 3.84
I 0.5000 0.5000 0.5000  8 Rb 3.84

Calculated values
Magnetic moment, μB/cell: 0.00
ΔE_f (raw), eV/atom: -0.643
Polymorph energy (0 for the lowest one), kJ/mol of atoms: 2.9
D(E_F), states/eV/cell: 0.0
Space group: Fm-3m (225)

***

The following is a DFT calculation (PBE) of an optimized crystal structure of Tl3VPb.

Cell: 5.3944 5.3944 5.3944 Å, 90.00 90.00 90.00°
With the nearest neighbours (Å) after each atom.
Atoms (fractional coordinates):
Tl 0.0000 0.0000 0.5000  2 V 2.70
Tl 0.0000 0.5000 0.0000  2 V 2.70
Tl 0.5000 0.0000 0.0000  2 V 2.70
V 0.0000 0.0000 0.0000  6 Tl 2.70
Pb 0.5000 0.5000 0.5000  12 Tl 3.81

Calculated values
Formation enthalpy at 0 K, eV per formula unit: 2.51
Magnetic moment, μB/cell: 2.46
D(E_F), states/eV/cell: 4.2
Space group: Pm-3m (221)

***

The following is a DFT calculation (PBE) of an optimized crystal structure of HgPW2.

Cell: 5.2642 5.2642 5.2642 Å, 145.29 126.17 65.65°
With the nearest neighbours (Å) after each atom.
Atoms (fractional coordinates):
Hg 0.0000 0.0000 0.0000  4 P 2.85, 8 W 3.00-3.03, 2 Hg 3.14
P 0.5000 0.5000 0.0000  4 W 2.41
W 0.2932 0.7932 0.5000  2 P 2.41
W 0.7068 0.2068 0.5000  2 P 2.41

Calculated values
Formation enthalpy at 0 K, eV per formula unit: 2.11
Magnetic moment, μB/cell: 0.00
Polymorph energy (0 for the lowest one), kJ/mol of atoms: 21.4
D(E_F), states/eV/cell: 2.4
Space group: Immm (71)

***

The following is a DFT calculation (PBE) of an optimized crystal structure of NaGaIBr2.

Cell: 5.3329 5.3329 5.9174 Å, 90.00 90.00 90.00°
With the nearest neighbours (Å) after each atom.
Atoms (fractional coordinates):
Na 0.0000 0.0000 0.0000  4 I 3.77, 8 Br 3.98
Ga 0.5000 0.5000 0.5000  4 Br 2.67, 2 I 2.96
I 0.5000 0.5000 0.0000  2 Ga 2.96
Br 0.0000 0.5000 0.5000  2 Ga 2.67
Br 0.5000 0.0000 0.5000  2 Ga 2.67

Calculated values
Magnetic moment, μB/cell: 0.00
ΔE_f (raw), eV/atom: -0.777
D(E_F), states/eV/cell: 0.7
Space group: P4/mmm (123)

***

The following is a DFT calculation (PBE) of an optimized crystal structure of Zn2AsPb.

Cell: 3.3926 3.5409 7.0144 Å, 90.00 90.00 90.00°
With the nearest neighbours (Å) after each atom.
Atoms (fractional coordinates):
Zn 0.0000 0.0000 0.1944  1 Zn 2.73, 4 As 2.81
Zn 0.0000 0.0000 0.8056  1 Zn 2.73, 4 As 2.81
As 0.5000 0.5000 0.0000  8 Zn 2.81
Pb 0.5000 0.5000 0.5000  8 Zn 3.26, 4 Pb 3.39-3.54, 2 As 3.51

Calculated values
Formation enthalpy at 0 K, eV per formula unit: 0.69
Magnetic moment, μB/cell: 0.00
D(E_F), states/eV/cell: 1.7
Space group: Pmmm (47)

***

The following is a DFT calculation (PBE) of an optimized crystal structure of LaIn2TeRh.

Cell: 6.2858 6.2858 4.8063 Å, 90.00 90.00 90.00°
With the nearest neighbours (Å) after each atom.
Atoms (fractional coordinates):
La 0.0000 0.0000 0.0000  2 Rh 2.40
In 0.0000 0.5000 0.0000  2 La 3.14
In 0.5000 0.0000 0.0000  2 La 3.14
Te 0.5000 0.5000 0.5000  8 In 3.96
Rh 0.0000 0.0000 0.5000  2 La 2.40

Calculated values
Magnetic moment, μB/cell: 0.00
ΔE_f (raw), eV/atom: 0.535
Polymorph energy (0 for the lowest one), kJ/mol of atoms: 124.0
D(E_F), states/eV/cell: 3.8
Space group: P4/mmm (123)

***

The following is a DFT calculation (PBE) of an optimized crystal structure of Dy4TeSe2.

Cell: 13.7210 13.7210 13.7210 Å, 16.93 16.93 16.93°
With the nearest neighbours (Å) after each atom.
Atoms (fractional coordinates):
Dy 0.1319 0.1319 0.1319  3 Se 2.88
Dy 0.2828 0.2828 0.2828  3 Se 2.84, 3 Te 3.11
Dy 0.7172 0.7172 0.7172  3 Se 2.84, 3 Te 3.11
Dy 0.8681 0.8681 0.8681  3 Se 2.88
Te 0.0000 0.0000 0.0000  6 Dy 3.11
Se 0.4236 0.4236 0.4236  6 Dy 2.84-2.88
Se 0.5764 0.5764 0.5764  6 Dy 2.84-2.88

Calculated values
Magnetic moment, μB/cell: 0.00
ΔE_f (raw), eV/atom: -1.347
D(E_F), states/eV/cell: 2.4
Space group: R-3m (166)

***

The following is a DFT calculation (PBE) of an optimized crystal structure of CaBe2Au8.

Cell: 5.5177 5.5177 7.8525 Å, 90.00 90.00 90.00°
With the nearest neighbours (Å) after each atom.
Atoms (fractional coordinates):
Ca 0.0000 0.0000 0.0000  8 Au 3.11
Be 0.0000 0.5000 0.5000  8 Au 2.47
Be 0.5000 0.0000 0.5000  8 Au 2.47
Au 0.2515 0.2515 0.3070  2 Be 2.47, 2 Au 2.74
Au 0.2515 0.2515 0.6930  2 Be 2.47, 2 Au 2.74
Au 0.2515 0.7485 0.3070  2 Be 2.47, 2 Au 2.74
Au 0.2515 0.7485 0.6930  2 Be 2.47, 2 Au 2.74
Au 0.7485 0.2515 0.3070  2 Be 2.47, 2 Au 2.74
Au 0.7485 0.2515 0.6930  2 Be 2.47, 2 Au 2.74
Au 0.7485 0.7485 0.3070  2 Be 2.47, 2 Au 2.74
Au 0.7485 0.7485 0.6930  2 Be 2.47, 2 Au 2.74

Calculated values
Formation enthalpy at 0 K, eV per formula unit: -1.59
Magnetic moment, μB/cell: 0.00
Polymorph energy (0 for the lowest one), kJ/mol of atoms: 9.4
D(E_F), states/eV/cell: 2.2
Space group: P4/mmm (123)

***

The following is a DFT calculation (PBE) of an optimized crystal structure of Ba2AuOF.

Cell: 5.9676 5.9676 4.6121 Å, 90.00 90.00 90.00°
With the nearest neighbours (Å) after each atom.
Atoms (fractional coordinates):
Ba 0.0000 0.5000 0.0000  2 Au 2.98
Ba 0.5000 0.0000 0.0000  2 Au 2.98
Au 0.0000 0.0000 0.0000  2 F 2.31
O 0.5000 0.5000 0.5000  8 Ba 3.77, 4 F 4.22
F 0.0000 0.0000 0.5000  2 Au 2.31

Calculated values
Magnetic moment, μB/cell: 0.00
ΔE_f (raw), eV/atom: -0.809
D(E_F), states/eV/cell: 1.8
Space group: P4/mmm (123)